1.
## BaSc2Te2 (GGA-PBE)

Data for a relaxed structure of BaSc2Te2.

Lattice parameters (Å, degrees): 8.653 8.653 3.779 90.00 90.00 90.00
Fractional positions:
1 Ba 0.000 0.000 0.000
2 Ba 0.500 0.500 0.000
3 Sc 0.139 0.361 0.500
4 Sc 0.361 0.861 0.500
5 Sc 0.639 0.139 0.500
6 Sc 0.861 0.639 0.500
7 Te 0.142 0.642 0.000
8 Te 0.358 0.142 0.000
9 Te 0.642 0.858 0.000
10 Te 0.858 0.358 0.000

ΔE to the lowest computed polymorph, meV/atom: 246
Space group: No. 127
Crystal system: tetragonal

2.
## BaScTe3 (GGA-PBE)

Data for a relaxed structure of BaScTe3.

Lattice parameters (Å, degrees): 5.632 5.632 5.632 90.00 90.00 90.00
Fractional positions:
1 Ba 0.000 0.000 0.000
2 Sc 0.500 0.500 0.500
3 Te 0.000 0.500 0.500
4 Te 0.500 0.000 0.500
5 Te 0.500 0.500 0.000

ΔE to the lowest computed polymorph, meV/atom: 100
Space group: No. 221
Crystal system: cubic

3.
## Ba2ScTe (GGA-PBE)

Data for a relaxed structure of Ba2ScTe.

Lattice parameters (Å, degrees): 4.021 4.021 9.840 90.00 90.00 90.00
Fractional positions:
1 Ba 0.000 0.000 0.000
2 Ba 0.500 0.500 0.367
3 Sc 0.000 0.000 0.631
4 Te 0.500 0.500 0.746

Space group: No. 99
Crystal system: tetragonal
Total energy, eV/atom: -3.82